[1]
DFT (PBE) results for a relaxed structure of LaHo6In.

Lattice parameters (Å, degrees): 4.8970 4.8970 10.1147 90.00 90.00 90.00
Last column: nearest neighbours and their distance in Å.
Fractional coordinates of all 8 atoms:
La: 0.0000 0.0000 0.0000  12 Ho 3.46-3.60
Ho: 0.5000 0.5000 0.0000  4 La 3.46, 8 Ho 3.60
Ho: 0.5000 0.5000 0.5000  8 Ho 3.44, 4 In 3.46
Ho: 0.5000 0.0000 0.2609  2 In 3.44, 8 Ho 3.44-3.60, 2 La 3.60
Ho: 0.5000 0.0000 0.7391  2 In 3.44, 8 Ho 3.44-3.60, 2 La 3.60
Ho: 0.0000 0.5000 0.2609  2 In 3.44, 8 Ho 3.44-3.60, 2 La 3.60
Ho: 0.0000 0.5000 0.7391  2 In 3.44, 8 Ho 3.44-3.60, 2 La 3.60
In: 0.0000 0.0000 0.5000  12 Ho 3.44-3.46

Computed properties:
D(E_F)   1.357 states/eV per atom
Uncorrected energy   -35.842 eV/cell
Formation energy   -8.6 kJ/mol of atoms
Crystal system   tetragonal

***

[2]
DFT (PBE) results for a relaxed structure of Sc4AlPb.

Lattice parameters (Å, degrees): 5.8676 5.8676 5.8676 60.00 60.00 60.00
Last column: nearest neighbours and their distance in Å.
Fractional coordinates of all 6 atoms:
Sc: 0.8731 0.3756 0.3756  6 Sc 2.92-2.95
Sc: 0.3756 0.3756 0.8731  6 Sc 2.92-2.95
Sc: 0.3756 0.8731 0.3756  6 Sc 2.92-2.95
Sc: 0.3756 0.3756 0.3756  6 Sc 2.92-2.95
Al: 0.7500 0.7500 0.7500  12 Sc 3.44, 4 Pb 3.59
Pb: 0.0000 0.0000 0.0000  12 Sc 3.44, 4 Al 3.59

Computed properties:
D(E_F)   1.193 states/eV per atom
Uncorrected energy   -31.988 eV/cell
Formation energy   12.7 kJ/mol of atoms
Crystal system   cubic

***

[3]
DFT (PBE) results for a relaxed structure of Ca3TcCl.

Lattice parameters (Å, degrees): 5.2711 5.2711 5.2711 90.00 90.00 90.00
Last column: nearest neighbours and their distance in Å.
Fractional coordinates of all 5 atoms:
Ca: 0.0000 0.5000 0.0000  2 Cl 2.64
Ca: 0.0000 0.0000 0.5000  2 Cl 2.64
Ca: 0.5000 0.0000 0.0000  2 Cl 2.64
Tc: 0.5000 0.5000 0.5000  12 Ca 3.73
Cl: 0.0000 0.0000 0.0000  6 Ca 2.64

Computed properties:
ΔE to the lowest computed polymorph   0.025 eV/atom
D(E_F)   2.047 states/eV per atom
Uncorrected energy   -17.611 eV/cell
Uncorrected formation energy   0.1212 eV/atom
Crystal system   cubic

***

[4]
DFT (PBE) results for a relaxed structure of CaLuGaNi.

Lattice parameters (Å, degrees): 4.9018 4.9018 4.9018 60.00 60.00 60.00
Last column: nearest neighbours and their distance in Å.
Fractional coordinates of all 4 atoms:
Ni: 0.7500 0.7500 0.7500  4 Ca 3.00, 4 Lu 3.00
Ca: 0.0000 0.0000 0.0000  4 Ni 3.00, 4 Ga 3.00
Lu: 0.5000 0.5000 0.5000  4 Ga 3.00, 4 Ni 3.00
Ga: 0.2500 0.2500 0.2500  4 Ca 3.00, 4 Lu 3.00

Computed properties:
D(E_F)   0.444 states/eV per atom
Uncorrected energy   -16.588 eV/cell
Formation energy   -30.3 kJ/mol of atoms
Crystal system   cubic

***

[5]
DFT (PBE) results for a relaxed structure of NbSn3Ru.

Lattice parameters (Å, degrees): 5.0730 5.0730 5.0730 90.00 90.00 90.00
Last column: nearest neighbours and their distance in Å.
Fractional coordinates of all 5 atoms:
Ru: 0.0000 0.0000 0.0000  6 Sn 2.54
Nb: 0.5000 0.5000 0.5000  12 Sn 3.59
Sn: 0.0000 0.5000 0.0000  2 Ru 2.54
Sn: 0.0000 0.0000 0.5000  2 Ru 2.54
Sn: 0.5000 0.0000 0.0000  2 Ru 2.54

Computed properties:
ΔE to the lowest computed polymorph   0.000 eV/atom
D(E_F)   1.442 states/eV per atom
Uncorrected energy   -27.365 eV/cell
Formation energy   77.0 kJ/mol of atoms
Crystal system   cubic

***

[6]
DFT (PBE) results for a relaxed structure of ErPu2ThBi4.

Lattice parameters (Å, degrees): 4.5514 7.8779 7.8470 70.49 90.00 90.00
Last column: nearest neighbours and their distance in Å.
Fractional coordinates of all 8 atoms:
Er: 0.5000 0.5000 0.0000  6 Bi 3.18-3.19
Pu: 0.0000 0.0000 0.0000  6 Bi 3.19
Pu: 0.5000 0.0000 0.5000  6 Bi 3.24
Th: 0.0000 0.5000 0.5000  6 Bi 3.23
Bi: 0.0000 0.7473 0.7557  2 Er 3.19, 3 Pu 3.19-3.24, 1 Th 3.23
Bi: 0.0000 0.2527 0.2443  2 Er 3.19, 3 Pu 3.19-3.24, 1 Th 3.23
Bi: 0.5000 0.7507 0.2445  1 Er 3.18, 3 Pu 3.19-3.24, 2 Th 3.23
Bi: 0.5000 0.2493 0.7555  1 Er 3.18, 3 Pu 3.19-3.24, 2 Th 3.23

Computed properties:
D(E_F)   3.528 states/eV per atom
Uncorrected energy   -60.502 eV/cell
Formation energy   -52.2 kJ/mol of atoms
Crystal system   monoclinic

***

[7]
DFT (PBE) results for a relaxed structure of TbPrSe.

Lattice parameters (Å, degrees): 3.9596 3.9596 6.7332 90.00 90.00 120.00
Last column: nearest neighbours and their distance in Å.
Fractional coordinates of all 3 atoms:
Pr: 0.0000 0.0000 0.9465  3 Se 3.00
Tb: 0.6667 0.3333 0.3959  3 Se 2.89
Se: 0.3333 0.6667 0.6576  3 Tb 2.89, 3 Pr 3.00

Computed properties:
ΔE to the lowest computed polymorph   0.000 eV/atom
D(E_F)   0.267 states/eV per atom
Uncorrected energy   -16.207 eV/cell
Uncorrected formation energy   -1.1042 eV/atom
Crystal system   trigonal

***

[8]
DFT (PBE) results for a relaxed structure of Tm4Ge2O.

Lattice parameters (Å, degrees): 4.4116 4.4116 8.3654 105.29 105.29 90.00
Last column: nearest neighbours and their distance in Å.
Fractional coordinates of all 7 atoms:
Ge: 0.6364 0.6364 0.2727  9 Tm 2.89-3.18
Ge: 0.3636 0.3636 0.7273  9 Tm 2.89-3.18
Tm: 0.8227 0.8227 0.6455  1 O 2.75, 1 Ge 2.89
Tm: 0.1773 0.1773 0.3545  1 O 2.75, 1 Ge 2.89
Tm: 0.0000 0.5000 0.0000  2 O 2.21
Tm: 0.5000 0.0000 0.0000  2 O 2.21
O: 0.0000 0.0000 0.0000  4 Tm 2.21

Computed properties:
D(E_F)   0.943 states/eV per atom
Uncorrected energy   -41.339 eV/cell
Uncorrected formation energy   -1.3228 eV/atom
Crystal system   tetragonal